(1)
A geometry-optimized Co4AsP3 structure, computed with PBE.

The structure in extended XYZ format:
```
8
Lattice="5.086 0.000 0.000 0.000 3.317 0.000 -0.014 0.000 5.638" Properties=species:S:1:pos:R:3 pbc="T T T"
Co 0.000 0.000 0.000
Co 0.009 1.658 3.520
Co 2.472 1.658 2.861
Co 2.504 0.000 0.551
As 4.100 0.000 2.208
P 0.997 1.658 1.226
P 1.535 0.000 4.081
P 3.510 1.658 5.012
```

Calculated values
crystal system = monoclinic
energy = -6.66 eV/atom

(2)
A geometry-optimized Co2AsP structure, computed with PBE.

The structure in extended XYZ format:
```
8
Lattice="3.340 0.000 0.000 0.000 5.236 0.000 0.000 0.000 5.642" Properties=species:S:1:pos:R:3 pbc="T T T"
Co 0.000 1.225 0.000
Co 0.000 3.995 5.026
Co 1.670 1.241 2.205
Co 1.670 4.011 2.821
As 0.000 2.902 1.573
As 1.670 2.334 4.394
P 0.000 0.272 3.429
P 1.670 4.964 0.608
```

Calculated values
polymorph energy (0 for the lowest one) = 0.5 kJ/mol of atoms
crystal system = orthorhombic
energy = -6.50 eV/atom

(3)
A geometry-optimized Co4As3P structure, computed with PBE.

The structure in extended XYZ format:
```
8
Lattice="5.234 0.000 0.000 0.000 3.412 0.000 -0.001 0.000 5.768" Properties=species:S:1:pos:R:3 pbc="T T T"
Co 0.000 0.000 0.000
Co 0.020 1.706 3.399
Co 2.687 1.706 2.742
Co 2.716 0.000 0.570
As 1.060 0.000 2.165
As 1.600 1.706 5.078
As 3.679 0.000 4.050
P 4.217 1.706 1.172
```

Calculated values
crystal system = monoclinic
energy = -6.33 eV/atom

(4)
A geometry-optimized Co2AsP structure, computed with PBE.

The structure in extended XYZ format:
```
8
Lattice="3.361 0.000 0.000 0.000 5.710 0.000 0.000 0.000 5.174" Properties=species:S:1:pos:R:3 pbc="T T T"
Co 0.000 0.266 0.000
Co 0.000 5.443 2.587
Co 1.681 2.487 5.152
Co 1.681 3.222 2.565
As 0.000 1.918 1.605
As 0.000 3.792 4.192
P 1.681 0.910 3.648
P 1.681 4.799 1.060
```

Calculated values
polymorph energy (0 for the lowest one) = 1.8 kJ/mol of atoms
crystal system = orthorhombic
energy = -6.48 eV/atom

(5)
A geometry-optimized Co2AsPPd2 structure, computed with PBE.

The structure in extended XYZ format:
```
6
Lattice="3.646 0.000 0.000 0.000 3.646 0.000 0.000 0.000 6.003" Properties=species:S:1:pos:R:3 pbc="T T T"
Co 0.000 1.823 0.000
Co 1.823 0.000 0.000
As 0.000 0.000 4.547
P 1.823 1.823 1.249
Pd 0.000 0.000 2.094
Pd 1.823 1.823 3.597
```

Calculated values
crystal system = tetragonal
energy = -6.26 eV/atom

(6)
A geometry-optimized PrCo2AsP structure, computed with PBE.

The structure in extended XYZ format:
```
5
Lattice="-1.988 1.988 5.113 1.988 -1.988 5.113 1.988 1.988 -5.113" Properties=species:S:1:pos:R:3 pbc="T T T"
Pr 0.000 0.000 0.000
Co 1.988 0.000 2.653
Co 0.000 1.988 2.653
As 0.000 0.000 6.474
P 0.000 0.000 3.677
```

Calculated values
crystal system = tetragonal
energy = -6.65 eV/atom

(7)
A geometry-optimized Co2Sn2As3P structure, computed with PBE.

The structure in extended XYZ format:
```
8
Lattice="6.324 -2.829 0.000 6.324 2.829 0.000 -2.470 0.000 5.040" Properties=species:S:1:pos:R:3 pbc="T T T"
Co 0.628 0.000 1.798
Co 9.550 0.000 3.242
Sn 4.471 -0.103 0.610
Sn 5.707 -0.103 4.430
As 1.502 1.358 3.395
As 5.089 1.751 2.520
As 8.676 1.358 1.644
P 6.324 -1.858 0.000
```

Calculated values
crystal system = monoclinic
energy = -5.21 eV/atom

(8)
A geometry-optimized Zr4Co2AsP structure, computed with PBE.

The structure in extended XYZ format:
```
8
Lattice="5.314 0.000 0.000 0.000 3.679 0.000 -2.603 0.000 7.036" Properties=species:S:1:pos:R:3 pbc="T T T"
Zr 0.000 0.000 0.000
Zr -1.329 1.839 4.464
Zr 1.263 0.000 3.290
Zr 2.553 1.839 0.871
Co -0.067 1.839 1.885
Co -0.100 0.000 6.005
As 1.346 1.839 5.392
P 3.920 0.000 2.438
```

Calculated values
crystal system = monoclinic
energy = -8.17 eV/atom

- What is the formula in the third record?
  Co4As3P